A plane-wave DFT calculation with GGA-PBE was carried out for Te3AsPb after structural relaxation.

Properties
**Total DFT energy (no corrections)**: -0.269 Ry per atom
**Uncorrected formation energy**: -0.0975 eV/atom
**Relative energy among the computed polymorphs**: 0 meV per atom

Cell and atoms, written as extended XYZ:
```
20
Lattice="-2.917 3.468 0.155 -2.269 -1.534 -8.375 -11.493 -9.887 4.925" Properties=species:S:1:pos:R:3 pbc="T T T"
Te -5.748 -0.385 -0.079
Te -2.170 -0.114 -5.124
Te -4.229 -1.727 -7.785
Te -6.368 -3.776 -2.195
Te -6.707 -4.225 1.494
Te -10.311 -4.177 -1.099
Te -10.335 -7.264 1.202
Te -12.450 -6.226 4.491
Te -14.509 -7.839 1.830
Te -6.344 -0.688 -4.497
Te -9.973 -3.727 -4.788
Te -10.932 -7.568 -3.216
As -8.867 -5.847 -2.865
As -7.813 -2.106 -0.429
As -4.879 0.627 -6.360
As -11.800 -8.579 3.066
Pb -6.434 -3.646 -6.327
Pb -10.246 -4.307 3.033
Pb -12.765 -6.264 -0.561
Pb -3.915 -1.688 -2.733
```

***

A plane-wave DFT calculation with GGA-PBE was carried out for FeRu3C after structural relaxation.

Properties
**Total DFT energy (no corrections)**: -0.647 Ry per atom
**Relative energy among the computed polymorphs**: 0 meV per atom

Cell and atoms, written as extended XYZ:
```
5
Lattice="-0.923 -3.883 0.416 3.090 -0.464 2.518 -2.389 0.899 3.097" Properties=species:S:1:pos:R:3 pbc="T T T"
Ru 1.545 -0.232 1.259
Ru -1.194 0.450 1.548
Ru -0.461 -1.942 0.208
C 0.000 0.000 0.000
Fe -0.111 -1.724 3.015
```